Below is a relaxed Zr2TcNiH crystal, with properties calculated at the PBE level.

Cell: 4.587 4.587 3.385 Å, 90.00 90.00 90.00°
Space group P4/mmm (No. 123)
Inequivalent atoms, fractional coordinates:
Zr1 0.000 0.500 0.000 [2 per cell]
Tc1 0.000 0.000 0.500 [1 per cell]
Ni1 0.500 0.500 0.500 [1 per cell]
H1 0.500 0.500 0.000 [1 per cell]

Properties
As for the distance to the lowest polymorph of the same formula: 0.0000 eV/atom.